# 1
The following is a GGA-PBE calculation of a geometry-optimized ThPaOsRu structure, from Alexandria via LeMat-Bulk.

Cell: 4.942 4.942 4.942 Å, 60.00 60.00 60.00°
Fractional positions:
Th (0.000, 0.000, 0.000)
Pa (0.500, 0.500, 0.500)
Os (0.250, 0.250, 0.250)
Ru (0.750, 0.750, 0.750)

Properties
- Calculated density: 14.68 Mg/m³
- Raw total energy: -0.352 hartree per atom
- Fermi-level density of states: 1.174 states/eV/atom

=====

# 2
The following is a GGA-PBE calculation of a geometry-optimized UPaOsRu structure, from Alexandria via LeMat-Bulk.

Cell: 4.817 4.817 4.817 Å, 60.00 60.00 60.00°
Fractional positions:
U (0.000, 0.000, 0.000)
Pa (0.500, 0.500, 0.500)
Os (0.250, 0.250, 0.250)
Ru (0.750, 0.750, 0.750)

Properties
- Calculated density: 15.98 Mg/m³
- Raw total energy: -0.385 hartree per atom
- Fermi-level density of states: 1.538 states/eV/atom

=====

no.,spin magnetization (μB/f.u.),calculated formation energy (meV per atom)
1,0.00,-227.7
2,1.96,-159.5